#P
The following is a DFT calculation (PBE) of a geometry-optimized CeTm2Ga structure.

Cell and atoms, written as POSCAR:
```
CeTm2Ga
1.0
3.4425 0.0000 0.0000
0.0000 3.4425 0.0000
0.0000 0.0000 8.7883
Ce Tm Ga
1 2 1
Direct
0.0000 0.0000 0.0000
0.5000 0.5000 0.2893
0.5000 0.5000 0.7107
0.0000 0.0000 0.5000
```

Results
The space-group type is No. 123.

---

#Q
The following is a DFT calculation (PBE) of a geometry-optimized CeTm2Ga structure.

Cell and atoms, written as POSCAR:
```
CeTm2Ga
1.0
4.7187 0.0000 0.0000
0.0000 4.7187 0.0000
0.0000 0.0000 4.5233
Ce Tm Ga
1 2 1
Direct
0.0000 0.0000 0.0000
0.0000 0.5000 0.5000
0.5000 0.0000 0.5000
0.5000 0.5000 0.0000
```

Results
The space-group type is No. 123.

---

Most stable: #P